# 1
{
  "formula": "SiSbS3",
  "functional": "GGA-PBE",
  "state": "optimized geometry",
  "crystal_system": "orthorhombic",
  "polymorph_energy_kj_per_mol_atoms": 0.0,
  "e_form_raw_ev_per_atom": 0.004,
  "lattice": [[6.659, 0.741, 0.761], [-2.623, 6.165, -0.761], [-2.840, -2.972, 5.344]],
  "species": ["Si", "Si", "Sb", "Sb", "S", "S", "S", "S", "S", "S"],
  "fractional_positions": [[0.526, 0.097, 0.928], [0.169, 0.597, 0.072], [0.633, 0.718, 0.415], [0.303, 0.218, 0.585], [0.018, 0.251, 0.728], [0.018, 0.790, 0.267], [0.523, 0.751, 0.733], [0.930, 0.302, 0.128], [0.523, 0.290, 0.272], [0.175, 0.802, 0.872]]
}

***

# 2
{
  "formula": "AcTb2Zn2",
  "functional": "GGA-PBE",
  "state": "optimized geometry",
  "crystal_system": "orthorhombic",
  "ef_mev_per_atom": -123,
  "lattice": [[3.678, 0.000, 0.000], [0.000, 3.701, 0.701], [0.000, -0.061, 10.435]],
  "species": ["Ac", "Tb", "Tb", "Zn", "Zn"],
  "fractional_positions": [[0.000, 0.000, 0.000], [0.000, 0.178, 0.643], [0.000, 0.822, 0.357], [0.500, 0.396, 0.208], [0.500, 0.604, 0.792]]
}

***

# 3
{
  "formula": "LiHf2In2",
  "functional": "GGA-PBE",
  "state": "optimized geometry",
  "crystal_system": "tetragonal",
  "polymorph_energy_kj_per_mol_atoms": 6.2,
  "ef_mev_per_atom": 73,
  "lattice": [[-3.607, 6.086, -5.259], [-7.561, -0.599, 4.493], [0.959, 2.219, 1.910]],
  "species": ["Li", "Li", "Hf", "Hf", "Hf", "Hf", "In", "In", "In", "In"],
  "fractional_positions": [[0.000, 0.000, 0.000], [0.500, 0.500, 0.000], [0.379, 0.879, 0.000], [0.879, 0.621, 0.000], [0.621, 0.121, 0.000], [0.121, 0.379, 0.000], [0.176, 0.676, 0.500], [0.676, 0.824, 0.500], [0.824, 0.324, 0.500], [0.324, 0.176, 0.500]]
}

***

| no. | size of the total moment (μB/atom) |
| --- | --- |
| 1 | 0.0000 |
| 2 | 0.0002 |
| 3 | 0.0000 |